Below is a relaxed structure of Pm3AlF, with properties calculated at the PBE-GGA level.

```
5
Lattice="4.943 0.000 0.000 0.000 4.943 0.000 0.000 0.000 4.943" Properties=species:S:1:pos:R:3 pbc="T T T"
Pm 0.000 0.000 2.472
Pm 0.000 2.472 0.000
Pm 2.472 0.000 0.000
Al 2.472 2.472 2.472
F 0.000 0.000 0.000
```

Results
Energy relative to the elements, uncorrected   -1036.8 meV per atom
Total energy   -5.010 eV/atom